# 1
Entry from Alexandria via LeMat-Bulk: a relaxed structure of PrBiRu (PBE).

Calculated values
Mass density: 9.33 g cm⁻³
Fermi-level density of states: 5.5 states/eV/cell
M_tot: 0.00 μB/atom

Unit cell a=4.278 b=4.461 c=8.682 alpha=75.65 beta=89.94 gamma=89.85
Positions (direct):
Pr (0.250, 0.093, 0.309)
Pr (0.750, 0.907, 0.691)
Bi (0.250, 0.305, 0.901)
Bi (0.750, 0.695, 0.099)
Ru (0.249, 0.471, 0.570)
Ru (0.751, 0.529, 0.430)



# 2
Entry from Alexandria via LeMat-Bulk: a relaxed structure of Nb6HC2N3 (PBE).

Calculated values
Mass density: 7.84 g cm⁻³
Fermi-level density of states: 4.4 states/eV/cell
M_tot: 0.00 μB/atom

Unit cell a=5.420 b=5.420 c=5.494 alpha=99.41 beta=99.41 gamma=119.93
Positions (direct):
Nb (0.077, 0.398, 0.238)
Nb (0.246, 0.246, 0.766)
Nb (0.398, 0.077, 0.238)
Nb (0.602, 0.923, 0.762)
Nb (0.754, 0.754, 0.234)
Nb (0.923, 0.602, 0.762)
H (0.000, 0.000, 0.000)
C (0.334, 0.666, 0.000)
C (0.666, 0.334, 0.000)
N (0.171, 0.829, 0.500)
N (0.500, 0.500, 0.500)
N (0.829, 0.171, 0.500)



# 3
Entry from Alexandria via LeMat-Bulk: a relaxed structure of Ca2MnCdSb (PBE).

Calculated values
Mass density: 3.20 g cm⁻³
Fermi-level density of states: 3.5 states/eV/cell
M_tot: 0.87 μB/atom
Uncorrected formation energy: 1.7 eV/f.u.

Unit cell a=5.872 b=5.872 c=5.559 alpha=90.00 beta=90.00 gamma=90.00
Positions (direct):
Ca (0.000, 0.500, 0.000)
Ca (0.500, 0.000, 0.000)
Mn (0.000, 0.000, 0.500)
Cd (0.500, 0.500, 0.500)
Sb (0.500, 0.500, 0.000)



# 4
Entry from Alexandria via LeMat-Bulk: a relaxed structure of PmPr3Ge2 (PBE).

Calculated values
Mass density: 6.77 g cm⁻³
Relative energy among the computed polymorphs: 0.00 kcal/mol of atoms
Fermi-level density of states: 5.6 states/eV/cell
M_tot: 0.00 μB/atom

Unit cell a=8.975 b=8.975 c=8.975 alpha=150.65 beta=150.36 gamma=42.20
Positions (direct):
Pm (0.000, 0.000, 0.000)
Pr (0.318, 0.818, 0.500)
Pr (0.500, 0.500, 0.000)
Pr (0.682, 0.182, 0.500)
Ge (0.134, 0.634, 0.500)
Ge (0.866, 0.366, 0.500)



# 5
Entry from Alexandria via LeMat-Bulk: a relaxed structure of Sb2As (PBE).

Calculated values
Mass density: 5.45 g cm⁻³
Relative energy among the computed polymorphs: 9.00 kcal/mol of atoms
Fermi-level density of states: 8.6 states/eV/cell
M_tot: 0.00 μB/atom
Uncorrected formation energy: 1.4 eV/f.u.

Unit cell a=6.400 b=6.400 c=10.932 alpha=90.00 beta=90.00 gamma=120.00
Positions (direct):
Sb (0.000, 0.000, 0.000)
Sb (0.000, 0.000, 0.500)
Sb (0.164, 0.327, 0.250)
Sb (0.164, 0.836, 0.250)
Sb (0.327, 0.164, 0.750)
Sb (0.673, 0.836, 0.250)
Sb (0.836, 0.164, 0.750)
Sb (0.836, 0.673, 0.750)
As (0.333, 0.667, 0.060)
As (0.333, 0.667, 0.440)
As (0.667, 0.333, 0.560)
As (0.667, 0.333, 0.940)



# 6
Entry from Alexandria via LeMat-Bulk: a relaxed structure of BaFeSbI2 (PBE).

Calculated values
Mass density: 6.06 g cm⁻³
Fermi-level density of states: 6.8 states/eV/cell
M_tot: 0.51 μB/atom
Uncorrected formation energy: -1.8 eV/f.u.

Unit cell a=5.632 b=5.632 c=4.910 alpha=90.00 beta=90.00 gamma=90.00
Positions (direct):
Ba (0.000, 0.000, 0.000)
Fe (0.500, 0.500, 0.500)
Sb (0.500, 0.500, 0.000)
I (0.000, 0.500, 0.500)
I (0.500, 0.000, 0.500)



# 7
Entry from Alexandria via LeMat-Bulk: a relaxed structure of Rb3Np2HgS6 (PBE).

Calculated values
Mass density: 5.48 g cm⁻³
Fermi-level density of states: 17.2 states/eV/cell
M_tot: 0.58 μB/atom
Uncorrected formation energy: -13.3 eV/f.u.

Unit cell a=7.254 b=7.254 c=7.900 alpha=97.59 beta=97.59 gamma=121.67
Positions (direct):
Rb (0.000, 0.000, 0.000)
Rb (0.346, 0.654, 0.000)
Rb (0.654, 0.346, 0.000)
Np (0.170, 0.830, 0.500)
Np (0.830, 0.170, 0.500)
Hg (0.500, 0.500, 0.500)
S (0.067, 0.437, 0.298)
S (0.229, 0.229, 0.673)
S (0.437, 0.067, 0.298)
S (0.563, 0.933, 0.702)
S (0.771, 0.771, 0.327)
S (0.933, 0.563, 0.702)



# 8
Entry from Alexandria via LeMat-Bulk: a relaxed structure of TlTc2Sb (PBE).

Calculated values
Mass density: 11.35 g cm⁻³
Relative energy among the computed polymorphs: 6.99 kcal/mol of atoms
Fermi-level density of states: 4.1 states/eV/cell
M_tot: 0.00 μB/atom
Uncorrected formation energy: 2.1 eV/f.u.

Unit cell a=4.562 b=4.562 c=5.733 alpha=102.32 beta=102.32 gamma=41.09
Positions (direct):
Tl (0.000, 0.000, 0.000)
Tc (0.243, 0.243, 0.707)
Tc (0.757, 0.757, 0.293)
Sb (0.500, 0.500, 0.500)



# 9
Entry from Alexandria via LeMat-Bulk: a relaxed structure of In4Rh3 (PBE).

Calculated values
Mass density: 9.78 g cm⁻³
Relative energy among the computed polymorphs: 5.62 kcal/mol of atoms
Fermi-level density of states: 5.2 states/eV/cell
M_tot: 0.00 μB/atom

Unit cell a=10.744 b=10.744 c=10.744 alpha=161.08 beta=161.08 gamma=26.89
Positions (direct):
In (0.069, 0.069, 0.000)
In (0.342, 0.342, 0.000)
In (0.658, 0.658, 0.000)
In (0.931, 0.931, 0.000)
Rh (0.207, 0.207, 0.000)
Rh (0.500, 0.500, 0.000)
Rh (0.793, 0.793, 0.000)



# 10
Entry from Alexandria via LeMat-Bulk: a relaxed structure of Mg2In2Rh (PBE).

Calculated values
Mass density: 5.86 g cm⁻³
Relative energy among the computed polymorphs: 4.74 kcal/mol of atoms
Fermi-level density of states: 5.8 states/eV/cell
M_tot: 0.00 μB/atom

Unit cell a=7.019 b=7.019 c=4.387 alpha=90.00 beta=90.00 gamma=90.00
Positions (direct):
Mg (0.168, 0.332, 0.000)
Mg (0.332, 0.832, 0.000)
Mg (0.668, 0.168, 0.000)
Mg (0.832, 0.668, 0.000)
In (0.146, 0.646, 0.500)
In (0.354, 0.146, 0.500)
In (0.646, 0.854, 0.500)
In (0.854, 0.354, 0.500)
Rh (0.000, 0.000, 0.500)
Rh (0.500, 0.500, 0.500)



# 11
Entry from Alexandria via LeMat-Bulk: a relaxed structure of Mn2ZnFeC (PBE).

Calculated values
Mass density: 7.12 g cm⁻³
Relative energy among the computed polymorphs: 0.00 kcal/mol of atoms
Fermi-level density of states: 4.0 states/eV/cell
M_tot: 1.21 μB/atom

Unit cell a=3.887 b=3.887 c=3.753 alpha=90.00 beta=90.00 gamma=90.00
Positions (direct):
Mn (0.000, 0.500, 0.000)
Mn (0.500, 0.000, 0.000)
Zn (0.000, 0.000, 0.500)
Fe (0.500, 0.500, 0.500)
C (0.500, 0.500, 0.000)



# 12
Entry from Alexandria via LeMat-Bulk: a relaxed structure of TaZnTcCl2 (PBE).

Calculated values
Mass density: 5.26 g cm⁻³
Fermi-level density of states: 4.1 states/eV/cell
M_tot: 0.06 μB/atom
Uncorrected formation energy: 6.1 eV/f.u.

Unit cell a=4.336 b=4.336 c=6.977 alpha=90.00 beta=90.00 gamma=90.00
Positions (direct):
Ta (0.000, 0.000, 0.000)
Zn (0.000, 0.000, 0.500)
Tc (0.500, 0.500, 0.000)
Cl (0.000, 0.500, 0.500)
Cl (0.500, 0.000, 0.500)



# 13
Entry from Alexandria via LeMat-Bulk: a relaxed structure of LiYRh2 (PBE).

Calculated values
Mass density: 7.35 g cm⁻³
Fermi-level density of states: 2.9 states/eV/cell
M_tot: 0.00 μB/atom

Unit cell a=3.042 b=4.042 c=5.544 alpha=90.00 beta=90.00 gamma=90.00
Positions (direct):
Li (0.000, 0.000, 0.000)
Y (0.500, 0.500, 0.688)
Rh (0.000, 0.000, 0.437)
Rh (0.500, 0.500, 0.191)



# 14
Entry from Alexandria via LeMat-Bulk: a relaxed structure of CaHf2ScCd (PBE).

Calculated values
Mass density: 6.38 g cm⁻³
Fermi-level density of states: 7.4 states/eV/cell
M_tot: 0.00 μB/atom

Unit cell a=5.112 b=5.112 c=5.521 alpha=90.00 beta=90.00 gamma=90.00
Positions (direct):
Ca (0.000, 0.000, 0.000)
Hf (0.000, 0.500, 0.500)
Hf (0.500, 0.000, 0.500)
Sc (0.000, 0.000, 0.500)
Cd (0.500, 0.500, 0.000)



# 15
Entry from Alexandria via LeMat-Bulk: a relaxed structure of Sr3MgGa2 (PBE).

Calculated values
Mass density: 3.71 g cm⁻³
Relative energy among the computed polymorphs: 0.00 kcal/mol of atoms
Fermi-level density of states: 3.9 states/eV/cell
M_tot: 0.00 μB/atom

Unit cell a=3.952 b=3.952 c=12.216 alpha=90.00 beta=90.00 gamma=90.00
Positions (direct):
Sr (0.000, 0.000, 0.000)
Sr (0.000, 0.000, 0.309)
Sr (0.000, 0.000, 0.691)
Mg (0.500, 0.500, 0.500)
Ga (0.500, 0.500, 0.155)
Ga (0.500, 0.500, 0.845)



# 16
Entry from Alexandria via LeMat-Bulk: a relaxed structure of Tm3Te2S (PBE).

Calculated values
Mass density: 8.66 g cm⁻³
Relative energy among the computed polymorphs: 0.00 kcal/mol of atoms
Fermi-level density of states: 5.1 states/eV/cell
M_tot: 0.00 μB/atom
Uncorrected formation energy: -8.6 eV/f.u.

Unit cell a=7.156 b=7.156 c=7.268 alpha=99.43 beta=99.43 gamma=120.03
Positions (direct):
Tm (0.065, 0.427, 0.786)
Tm (0.205, 0.205, 0.205)
Tm (0.427, 0.065, 0.786)
Tm (0.573, 0.935, 0.214)
Tm (0.795, 0.795, 0.795)
Tm (0.935, 0.573, 0.214)
Te (0.000, 0.000, 0.500)
Te (0.343, 0.657, 0.500)
Te (0.500, 0.500, 0.000)
Te (0.657, 0.343, 0.500)
S (0.169, 0.831, 0.000)
S (0.831, 0.169, 0.000)



| no. | electronic total energy (eV/cell) |
| --- | --- |
| 1 | -37.65 |
| 2 | -115.77 |
| 3 | -16.48 |
| 4 | -31.85 |
| 5 | -46.09 |
| 6 | -19.46 |
| 7 | -67.16 |
| 8 | -25.11 |
| 9 | -34.01 |
| 10 | -32.41 |
| 11 | -37.35 |
| 12 | -21.07 |
| 13 | -23.99 |
| 14 | -23.86 |
| 15 | -14.30 |
| 16 | -64.76 |